(1)
Entry from Alexandria via LeMat-Bulk: Ba4Sb2I5 after structural relaxation (PBE-GGA).

a = 13.756 Å, b = 13.756 Å, c = 9.807 Å
α = 90.40°, β = 90.40°, γ = 20.30°
Fractional positions:
Ba  0.016  0.016  0.234
Ba  0.327  0.327  0.906
Ba  0.673  0.673  0.094
Ba  0.984  0.984  0.766
Sb  0.450  0.450  0.034
Sb  0.550  0.550  0.966
I  0.140  0.140  0.326
I  0.200  0.200  0.851
I  0.500  0.500  0.500
I  0.800  0.800  0.149
I  0.860  0.860  0.674

Properties
raw formation energy: -1.4143 eV/atom
energy relative to the lowest polymorph listed for this composition: 0 meV per atom
final energy: -3.57 eV per atom
total magnetization: 0.00 μB per atom
SG: C2/m, No. 12

(2)
Entry from Alexandria via LeMat-Bulk: ReRu2Au after structural relaxation (PBE-GGA).

a = 2.776 Å, b = 2.776 Å, c = 7.909 Å
α = 90.00°, β = 90.00°, γ = 90.00°
Fractional positions:
Re  0.000  0.000  0.000
Ru  0.500  0.500  0.230
Ru  0.500  0.500  0.770
Au  0.000  0.000  0.500

Properties
energy relative to the lowest polymorph listed for this composition: 48 meV per atom
calculated formation energy: 187 meV per atom
final energy: -8.38 eV per atom
total magnetization: 0.00 μB per atom
SG: P4/mmm, No. 123

(3)
Entry from Alexandria via LeMat-Bulk: TaCuPb4 after structural relaxation (PBE-GGA).

a = 6.239 Å, b = 6.239 Å, c = 6.239 Å
α = 60.00°, β = 60.00°, γ = 60.00°
Fractional positions:
Ta  0.000  0.000  0.000
Cu  0.750  0.750  0.750
Pb  0.375  0.375  0.375
Pb  0.375  0.375  0.876
Pb  0.375  0.876  0.375
Pb  0.876  0.375  0.375

Properties
calculated formation energy: 1095 meV per atom
final energy: -4.04 eV per atom
total magnetization: 0.42 μB per atom
SG: F-43m, No. 216

(4)
Entry from Alexandria via LeMat-Bulk: PAuN2 after structural relaxation (PBE-GGA).

a = 5.829 Å, b = 5.829 Å, c = 5.829 Å
α = 36.32°, β = 36.32°, γ = 36.32°
Fractional positions:
P  0.000  0.000  0.000
Au  0.500  0.500  0.500
N  0.096  0.096  0.096
N  0.904  0.904  0.904

Properties
raw formation energy: 1.0878 eV/atom
final energy: -5.25 eV per atom
total magnetization: 0.00 μB per atom
SG: R-3m, No. 166